Record 1
LiTlSn6 | PBE | optimized geometry

Computed properties:
- Energy of formation from the pure elements: -0.033 eV per atom
- Energy: -28.56 eV/cell
- Total magnetic moment: 0.000 μB/atom

a = 4.540 Å, b = 4.540 Å, c = 10.419 Å
α = 90.00°, β = 90.00°, γ = 90.00°
Fractional coordinates of all 8 atoms:
Li  0.000  0.000  0.500
Tl  0.000  0.000  0.000
Sn  0.500  0.500  0.500
Sn  0.500  0.000  0.733
Sn  0.500  0.000  0.267
Sn  0.000  0.500  0.733
Sn  0.000  0.500  0.267
Sn  0.500  0.500  0.000



Record 2
Ho8Ga3Te4Pt | PBE | optimized geometry

Computed properties:
- Energy: -80.03 eV/cell
- Total magnetic moment: 0.000 μB/atom

a = 8.249 Å, b = 8.777 Å, c = 8.247 Å
α = 118.01°, β = 120.01°, γ = 90.00°
Fractional coordinates of all 16 atoms:
Te  0.000  0.000  0.000
Ho  0.254  0.275  0.014
Ho  0.745  0.736  0.491
Te  0.500  0.000  0.500
Ga  0.500  0.500  0.500
Ho  0.240  0.725  0.479
Ho  0.240  0.725  0.986
Te  0.000  0.000  0.500
Pt  0.000  0.500  0.000
Ga  0.500  0.500  0.000
Ga  0.000  0.500  0.500
Ho  0.746  0.725  0.986
Ho  0.760  0.275  0.014
Te  0.500  0.000  0.000
Ho  0.760  0.275  0.521
Ho  0.255  0.264  0.509



Record 3
PmSm2Sc | PBE | optimized geometry

Computed properties:
- Energy of formation from the pure elements: 0.144 eV per atom
- Energy: -19.94 eV/cell
- Total magnetic moment: 0.000 μB/atom

a = 5.635 Å, b = 5.635 Å, c = 5.635 Å
α = 60.00°, β = 60.00°, γ = 60.00°
Fractional coordinates of all 4 atoms:
Sm  0.250  0.250  0.250
Pm  0.500  0.500  0.500
Sm  0.750  0.750  0.750
Sc  0.000  0.000  0.000